Record 1
Entry from Alexandria via LeMat-Bulk: a relaxed Pu2Si3Ni4Pd crystal (PBE-GGA).

CIF file:
```
data_Pu2Si3Ni4Pd
_cell_length_a 3.829
_cell_length_b 3.829
_cell_length_c 10.519
_cell_angle_alpha 90.00
_cell_angle_beta 90.00
_cell_angle_gamma 90.00
_space_group_name_H-M_alt 'P 1'
_space_group_IT_number 1
_space_group_name_Hall 'P 1'
loop_
_atom_site_label
_atom_site_type_symbol
_atom_site_fract_x
_atom_site_fract_y
_atom_site_fract_z
Si1 Si 0.000 0.500 0.123
Si2 Si 0.500 0.000 0.877
Si3 Si 0.000 0.000 0.500
Ni1 Ni 0.000 0.500 0.341
Ni2 Ni 0.500 0.000 0.659
Ni3 Ni 0.000 0.000 0.000
Ni4 Ni 0.500 0.500 0.000
Pu1 Pu 0.000 0.500 0.749
Pu2 Pu 0.500 0.000 0.251
Pd1 Pd 0.500 0.500 0.500
```

## Properties
The density of states at the Fermi level comes out at 2.369 states/eV/atom. The value obtained for the calculated volume is 15.42 Å³/atom. For the density, the calculation gives 9.83 g/cm³. The total DFT energy (no corrections) is -78.7 eV/cell. The calculation puts the uncorrected formation energy at -543 meV per atom.

---

Record 2
Entry from Alexandria via LeMat-Bulk: a relaxed Na2InHg crystal (PBE-GGA).

CIF file:
```
data_Na2InHg
_cell_length_a 3.488
_cell_length_b 3.488
_cell_length_c 10.641
_cell_angle_alpha 80.57
_cell_angle_beta 80.57
_cell_angle_gamma 60.00
_space_group_name_H-M_alt 'P 1'
_space_group_IT_number 1
_space_group_name_Hall 'P 1'
loop_
_atom_site_label
_atom_site_type_symbol
_atom_site_fract_x
_atom_site_fract_y
_atom_site_fract_z
In1 In 0.500 0.500 0.500
Hg1 Hg 0.667 0.667 0.000
Na1 Na 0.253 0.253 0.240
Na2 Na 0.080 0.080 0.760
```

## Properties
The density of states at the Fermi level comes out at 0.430 states/eV/atom. The value obtained for the calculated volume is 27.52 Å³/atom. For the density, the calculation gives 5.45 g/cm³. The total DFT energy (no corrections) is -6.1 eV/cell.

---

Record 3
Entry from Alexandria via LeMat-Bulk: a relaxed ThMnZnPt3 crystal (PBE-GGA).

CIF file:
```
data_ThMnZnPt3
_cell_length_a 5.708
_cell_length_b 5.683
_cell_length_c 7.461
_cell_angle_alpha 112.39
_cell_angle_beta 90.00
_cell_angle_gamma 90.00
_space_group_name_H-M_alt 'P 1'
_space_group_IT_number 1
_space_group_name_Hall 'P 1'
loop_
_atom_site_label
_atom_site_type_symbol
_atom_site_fract_x
_atom_site_fract_y
_atom_site_fract_z
Th1 Th 0.250 0.665 0.331
Th2 Th 0.750 0.335 0.669
Mn1 Mn 0.250 0.370 0.739
Mn2 Mn 0.750 0.630 0.261
Pt1 Pt 0.750 0.818 0.637
Pt2 Pt 0.000 0.750 0.000
Pt3 Pt 0.000 0.250 0.000
Pt4 Pt 0.500 0.750 0.000
Pt5 Pt 0.250 0.182 0.363
Pt6 Pt 0.500 0.250 0.000
Zn1 Zn 0.250 0.883 0.765
Zn2 Zn 0.750 0.117 0.235
```

## Properties
The density of states at the Fermi level comes out at 0.472 states/eV/atom. The value obtained for the calculated volume is 18.64 Å³/atom. For the density, the calculation gives 13.92 g/cm³. The total DFT energy (no corrections) is -78.3 eV/cell.

---

Record 4
Entry from Alexandria via LeMat-Bulk: a relaxed PmBe4IrRh2 crystal (PBE-GGA).

CIF file:
```
data_PmBe4IrRh2
_cell_length_a 3.909
_cell_length_b 3.909
_cell_length_c 8.557
_cell_angle_alpha 76.80
_cell_angle_beta 76.80
_cell_angle_gamma 60.00
_space_group_name_H-M_alt 'P 1'
_space_group_IT_number 1
_space_group_name_Hall 'P 1'
loop_
_atom_site_label
_atom_site_type_symbol
_atom_site_fract_x
_atom_site_fract_y
_atom_site_fract_z
Rh1 Rh 0.240 0.240 0.280
Rh2 Rh 0.760 0.760 0.720
Be1 Be 0.412 0.412 0.765
Be2 Be 0.134 0.134 0.599
Be3 Be 0.588 0.588 0.235
Be4 Be 0.866 0.866 0.401
Pm1 Pm 0.000 0.000 0.000
Ir1 Ir 0.500 0.500 0.500
```

## Properties
The density of states at the Fermi level comes out at 0.534 states/eV/atom. The value obtained for the calculated volume is 13.65 Å³/atom. For the density, the calculation gives 8.80 g/cm³. The total DFT energy (no corrections) is -47.2 eV/cell.

---

Record 5
Entry from Alexandria via LeMat-Bulk: a relaxed TlF3 crystal (PBE-GGA).

CIF file:
```
data_TlF3
_cell_length_a 3.997
_cell_length_b 3.997
_cell_length_c 3.997
_cell_angle_alpha 60.00
_cell_angle_beta 60.00
_cell_angle_gamma 60.00
_space_group_name_H-M_alt 'P 1'
_space_group_IT_number 1
_space_group_name_Hall 'P 1'
loop_
_atom_site_label
_atom_site_type_symbol
_atom_site_fract_x
_atom_site_fract_y
_atom_site_fract_z
F1 F 0.750 0.750 0.750
F2 F 0.250 0.250 0.250
F3 F 0.000 0.000 0.000
Tl1 Tl 0.500 0.500 0.500
```

## Properties
The density of states at the Fermi level comes out at 2.071 states/eV/atom. The value obtained for the calculated volume is 11.29 Å³/atom. For the density, the calculation gives 9.61 g/cm³. The total DFT energy (no corrections) is -13.6 eV/cell. The calculation puts the uncorrected formation energy at -1408 meV per atom.

---

Record 6
Entry from Alexandria via LeMat-Bulk: a relaxed Ni2SbP crystal (PBE-GGA).

CIF file:
```
data_Ni2SbP
_cell_length_a 5.716
_cell_length_b 5.716
_cell_length_c 5.716
_cell_angle_alpha 37.33
_cell_angle_beta 37.33
_cell_angle_gamma 37.33
_space_group_name_H-M_alt 'P 1'
_space_group_IT_number 1
_space_group_name_Hall 'P 1'
loop_
_atom_site_label
_atom_site_type_symbol
_atom_site_fract_x
_atom_site_fract_y
_atom_site_fract_z
P1 P 0.000 0.000 0.000
Ni1 Ni 0.716 0.716 0.716
Ni2 Ni 0.284 0.284 0.284
Sb1 Sb 0.500 0.500 0.500
```

## Properties
The density of states at the Fermi level comes out at 0.532 states/eV/atom. Its energy above the most stable polymorph in this dataset is 90 meV per atom. The value obtained for the calculated volume is 15.40 Å³/atom. For the density, the calculation gives 7.28 g/cm³. The total DFT energy (no corrections) is -22.0 eV/cell. The calculation puts the uncorrected formation energy at -222 meV per atom.

---

Record 7
Entry from Alexandria via LeMat-Bulk: a relaxed SnSbBr2F crystal (PBE-GGA).

CIF file:
```
data_SnSbBr2F
_cell_length_a 5.758
_cell_length_b 4.239
_cell_length_c 5.758
_cell_angle_alpha 90.00
_cell_angle_beta 90.00
_cell_angle_gamma 90.00
_space_group_name_H-M_alt 'P 1'
_space_group_IT_number 1
_space_group_name_Hall 'P 1'
loop_
_atom_site_label
_atom_site_type_symbol
_atom_site_fract_x
_atom_site_fract_y
_atom_site_fract_z
Br1 Br 0.500 0.000 0.000
Br2 Br 0.000 0.000 0.500
F1 F 0.000 0.000 0.000
Sn1 Sn 0.000 0.500 0.000
Sb1 Sb 0.500 0.500 0.500
```

## Properties
The density of states at the Fermi level comes out at 0.825 states/eV/atom. The value obtained for the calculated volume is 28.11 Å³/atom. For the density, the calculation gives 4.95 g/cm³. The total DFT energy (no corrections) is -15.0 eV/cell. The calculation puts the uncorrected formation energy at -329 meV per atom.

---

Record 8
Entry from Alexandria via LeMat-Bulk: a relaxed Cs2RbHg crystal (PBE-GGA).

CIF file:
```
data_Cs2RbHg
_cell_length_a 7.445
_cell_length_b 7.445
_cell_length_c 7.445
_cell_angle_alpha 60.00
_cell_angle_beta 60.00
_cell_angle_gamma 60.00
_space_group_name_H-M_alt 'P 1'
_space_group_IT_number 1
_space_group_name_Hall 'P 1'
loop_
_atom_site_label
_atom_site_type_symbol
_atom_site_fract_x
_atom_site_fract_y
_atom_site_fract_z
Rb1 Rb 0.000 0.000 0.000
Cs1 Cs 0.250 0.250 0.250
Cs2 Cs 0.750 0.750 0.750
Hg1 Hg 0.500 0.500 0.500
```

## Properties
The density of states at the Fermi level comes out at 0.770 states/eV/atom. Its energy above the most stable polymorph in this dataset is 83 meV per atom. The value obtained for the calculated volume is 72.95 Å³/atom. For the density, the calculation gives 3.14 g/cm³. The total DFT energy (no corrections) is -3.1 eV/cell.